No. 1
Compound: ErP3Ru3
Source: the Alexandria database
Functional: PBE
Structure: optimized geometry

abc: 7.528 7.528 7.528
angles: 52.55 52.55 52.55
Positions (direct):
Er 0.167 0.167 0.167
Er 0.833 0.833 0.833
P 0.096 0.725 0.405
P 0.275 0.595 0.904
P 0.405 0.096 0.725
P 0.595 0.904 0.275
P 0.725 0.405 0.096
P 0.904 0.275 0.595
Ru 0.032 0.385 0.725
Ru 0.275 0.968 0.615
Ru 0.385 0.725 0.032
Ru 0.615 0.275 0.968
Ru 0.725 0.032 0.385
Ru 0.968 0.615 0.275

Values from the calculation:
DOS at the Fermi energy in states/eV/cell: 7.101
Volume in Å³ per cell: 249.0
Energy of formation from the pure elements in eV per atom: -0.747
ρ in kg/m³: 7515

***

No. 2
Compound: Cr2C
Source: the Alexandria database
Functional: PBE
Structure: optimized geometry

abc: 2.885 2.885 14.570
angles: 90.00 90.00 120.00
Positions (direct):
Cr 0.000 0.000 0.081
Cr 0.000 0.000 0.919
Cr 0.333 0.667 0.573
Cr 0.333 0.667 0.731
Cr 0.667 0.333 0.269
Cr 0.667 0.333 0.427
C 0.000 0.000 0.500
C 0.333 0.667 0.861
C 0.667 0.333 0.139

Values from the calculation:
DOS at the Fermi energy in states/eV/cell: 7.065
Volume in Å³ per cell: 105.0
Energy of formation from the pure elements in eV per atom: 0.680
ρ in kg/m³: 5503

***

No. 3
Compound: Nd3TeOsCl
Source: the Alexandria database
Functional: PBE
Structure: optimized geometry

abc: 8.701 4.381 9.802
angles: 90.00 96.67 90.00
Positions (direct):
Nd 0.132 0.250 0.327
Nd 0.161 0.250 0.894
Nd 0.307 0.750 0.620
Nd 0.693 0.250 0.380
Nd 0.839 0.750 0.106
Nd 0.868 0.750 0.673
Te 0.405 0.750 0.314
Te 0.595 0.250 0.686
Os 0.073 0.250 0.610
Os 0.927 0.750 0.390
Cl 0.360 0.750 0.918
Cl 0.640 0.250 0.082

Values from the calculation:
DOS at the Fermi energy in states/eV/cell: 5.018
Volume in Å³ per cell: 371.1
DFT total energy in eV per formula unit: -35.77
ρ in kg/m³: 7034

***

No. 4
Compound: YH2Pb
Source: the Alexandria database
Functional: PBE
Structure: optimized geometry

abc: 6.837 6.837 6.837
angles: 137.95 137.95 60.98
Positions (direct):
Y 0.000 0.000 0.000
Y 0.750 0.250 0.500
H 0.017 0.625 0.892
H 0.375 0.267 0.392
H 0.733 0.125 0.108
H 0.875 0.983 0.608
Pb 0.250 0.750 0.500
Pb 0.500 0.500 0.000

Values from the calculation:
DOS at the Fermi energy in states/eV/cell: 2.056
Relative energy among the computed polymorphs in meV per atom: 0.0
Volume in Å³ per cell: 141.8
ρ in kg/m³: 6984

***

No. 5
Compound: Ca2ZnPd3Au12
Source: the Alexandria database
Functional: PBE
Structure: optimized geometry

abc: 8.346 8.346 8.346
angles: 62.77 62.77 62.77
Positions (direct):
Ca 0.116 0.116 0.116
Ca 0.884 0.884 0.884
Zn 0.500 0.500 0.500
Pd 0.000 0.500 0.500
Pd 0.500 0.000 0.500
Pd 0.500 0.500 0.000
Au 0.126 0.126 0.555
Au 0.126 0.555 0.126
Au 0.141 0.632 0.632
Au 0.368 0.368 0.859
Au 0.368 0.859 0.368
Au 0.445 0.874 0.874
Au 0.555 0.126 0.126
Au 0.632 0.141 0.632
Au 0.632 0.632 0.141
Au 0.859 0.368 0.368
Au 0.874 0.445 0.874
Au 0.874 0.874 0.445

Values from the calculation:
DOS at the Fermi energy in states/eV/cell: 6.697
Volume in Å³ per cell: 436.3
Energy of formation from the pure elements in eV per atom: 0.029
ρ in kg/m³: 10764

***

No. 6
Compound: LaTb2Y6Th3
Source: the Alexandria database
Functional: PBE
Structure: optimized geometry

abc: 6.226 6.226 11.805
angles: 95.05 95.05 120.01
Positions (direct):
La 0.000 0.000 0.000
Tb 0.333 0.667 0.000
Tb 0.667 0.333 0.000
Y 0.085 0.420 0.256
Y 0.249 0.249 0.744
Y 0.420 0.085 0.256
Y 0.580 0.915 0.744
Y 0.751 0.751 0.256
Y 0.915 0.580 0.744
Th 0.166 0.834 0.500
Th 0.500 0.500 0.500
Th 0.834 0.166 0.500

Values from the calculation:
DOS at the Fermi energy in states/eV/cell: 17.577
Volume in Å³ per cell: 390.1
Energy of formation from the pure elements in eV per atom: 0.022
ρ in kg/m³: 7178

***

No. 7
Compound: La2GaNiPb
Source: the Alexandria database
Functional: PBE
Structure: optimized geometry

abc: 5.418 5.418 4.647
angles: 90.00 90.00 90.00
Positions (direct):
La 0.000 0.500 0.000
La 0.500 0.000 0.000
Ga 0.000 0.000 0.500
Ni 0.000 0.000 0.000
Pb 0.500 0.500 0.500

Values from the calculation:
DOS at the Fermi energy in states/eV/cell: 3.205
Volume in Å³ per cell: 136.4
Energy of formation from the pure elements in eV per atom: -0.497
ρ in kg/m³: 7466

***

No. 8
Compound: BaZn6Ag3
Source: the Alexandria database
Functional: PBE
Structure: optimized geometry

abc: 6.947 7.248 9.093
angles: 90.00 120.15 90.00
Positions (direct):
Ba 0.000 0.000 0.000
Ba 0.000 0.500 0.500
Zn 0.135 0.025 0.672
Zn 0.135 0.475 0.172
Zn 0.245 0.709 0.869
Zn 0.245 0.791 0.369
Zn 0.492 0.726 0.217
Zn 0.492 0.774 0.717
Zn 0.508 0.226 0.283
Zn 0.508 0.274 0.783
Zn 0.755 0.209 0.631
Zn 0.755 0.291 0.131
Zn 0.865 0.525 0.828
Zn 0.865 0.975 0.328
Ag 0.287 0.138 0.454
Ag 0.287 0.362 0.954
Ag 0.500 0.000 0.000
Ag 0.500 0.500 0.500
Ag 0.713 0.638 0.046
Ag 0.713 0.862 0.546

Values from the calculation:
DOS at the Fermi energy in states/eV/cell: 6.993
Volume in Å³ per cell: 395.9
Energy of formation from the pure elements in eV per atom: -0.058
ρ in kg/m³: 7159

***

No. 9
Compound: Pr3Zn4Ag4
Source: the Alexandria database
Functional: PBE
Structure: optimized geometry

abc: 14.392 14.392 4.577
angles: 99.10 99.10 15.19
Positions (direct):
Pr 0.000 0.000 0.000
Pr 0.144 0.144 0.645
Pr 0.856 0.856 0.355
Zn 0.310 0.310 0.809
Zn 0.454 0.454 0.453
Zn 0.546 0.546 0.547
Zn 0.690 0.690 0.191
Ag 0.257 0.257 0.257
Ag 0.405 0.405 0.904
Ag 0.595 0.595 0.096
Ag 0.743 0.743 0.743

Values from the calculation:
DOS at the Fermi energy in states/eV/cell: 8.085
Relative energy among the computed polymorphs in meV per atom: 0.0
Volume in Å³ per cell: 245.2
Energy of formation from the pure elements in eV per atom: -0.263
ρ in kg/m³: 7557